No. 1
The following is a GGA+U calculation of BaTc2MoO8 after structural relaxation, from the Alexandria database.

a b c (Å): 5.848 5.848 7.440
angles (deg): 90.00 90.00 120.00
Element x y z (fractional)
Ba (0.000, 0.000, 0.000)
Tc (0.333, 0.667, 0.749)
Tc (0.667, 0.333, 0.251)
Mo (0.000, 0.000, 0.500)
O (0.158, 0.317, 0.687)
O (0.158, 0.842, 0.687)
O (0.317, 0.158, 0.313)
O (0.333, 0.667, 0.988)
O (0.667, 0.333, 0.012)
O (0.683, 0.842, 0.687)
O (0.842, 0.158, 0.313)
O (0.842, 0.683, 0.313)

No. 2
The following is a GGA+U calculation of BaTcMoO6 after structural relaxation, from the Alexandria database.

a b c (Å): 5.371 5.371 5.709
angles (deg): 90.00 90.00 120.00
Element x y z (fractional)
Ba (0.000, 0.000, 0.000)
Tc (0.667, 0.333, 0.500)
Mo (0.333, 0.667, 0.500)
O (0.006, 0.392, 0.692)
O (0.006, 0.614, 0.308)
O (0.386, 0.392, 0.308)
O (0.386, 0.994, 0.692)
O (0.608, 0.614, 0.692)
O (0.608, 0.994, 0.308)

No. 3
The following is a GGA+U calculation of Ba2TeMoO6 after structural relaxation, from the Alexandria database.

a b c (Å): 5.578 5.677 6.377
angles (deg): 116.16 108.73 90.06
Element x y z (fractional)
Ba (0.224, 0.235, 0.471)
Ba (0.776, 0.765, 0.529)
Te (0.500, 0.000, 0.000)
Mo (0.000, 0.500, 0.000)
O (0.177, 0.191, 0.871)
O (0.179, 0.678, 0.870)
O (0.265, 0.659, 0.321)
O (0.735, 0.341, 0.679)
O (0.821, 0.322, 0.130)
O (0.823, 0.809, 0.129)

No. 4
The following is a GGA+U calculation of BaTeMoO6 after structural relaxation, from the Alexandria database.

a b c (Å): 5.498 5.701 5.702
angles (deg): 60.15 89.99 89.92
Element x y z (fractional)
Ba (0.000, 0.000, 0.000)
Te (0.600, 0.666, 0.667)
Mo (0.515, 0.333, 0.333)
O (0.367, 0.097, 0.642)
O (0.370, 0.645, 0.258)
O (0.371, 0.259, 0.094)
O (0.780, 0.447, 0.554)
O (0.780, 0.996, 0.449)
O (0.782, 0.553, 0.997)

No. 5
The following is a GGA+U calculation of BaTe2MoO8 after structural relaxation, from the Alexandria database.

a b c (Å): 8.020 8.020 8.020
angles (deg): 39.33 39.33 39.33
Element x y z (fractional)
Ba (0.000, 0.000, 0.000)
Te (0.223, 0.223, 0.223)
Te (0.777, 0.777, 0.777)
Mo (0.500, 0.500, 0.500)
O (0.193, 0.388, 0.750)
O (0.250, 0.612, 0.807)
O (0.306, 0.306, 0.306)
O (0.388, 0.750, 0.193)
O (0.612, 0.807, 0.250)
O (0.694, 0.694, 0.694)
O (0.750, 0.193, 0.388)
O (0.807, 0.250, 0.612)

No. 6
The following is a GGA+U calculation of Ba2ThMo3O12 after structural relaxation, from the Alexandria database.

a b c (Å): 6.958 6.958 6.958
angles (deg): 65.98 65.98 65.98
Element x y z (fractional)
Ba (0.115, 0.115, 0.115)
Ba (0.885, 0.885, 0.885)
Th (0.500, 0.500, 0.500)
Mo (0.000, 0.500, 0.500)
Mo (0.500, 0.000, 0.500)
Mo (0.500, 0.500, 0.000)
O (0.093, 0.630, 0.630)
O (0.226, 0.226, 0.600)
O (0.226, 0.600, 0.226)
O (0.370, 0.370, 0.907)
O (0.370, 0.907, 0.370)
O (0.400, 0.774, 0.774)
O (0.600, 0.226, 0.226)
O (0.630, 0.093, 0.630)
O (0.630, 0.630, 0.093)
O (0.774, 0.400, 0.774)
O (0.774, 0.774, 0.400)
O (0.907, 0.370, 0.370)

Number 1: uncorrected energy -89.0 eV/cell. Number 2: uncorrected energy -66.0 eV/cell. Number 3: uncorrected energy -63.4 eV/cell. Number 4: uncorrected energy -58.1 eV/cell. Number 5: uncorrected energy -71.0 eV/cell. Number 6: uncorrected energy -132.7 eV/cell.